# Ba4LiMg3 | Alexandria via LeMat-Bulk | GGA-PBE | optimized geometry
# * distance to the lowest polymorph of the same formula: 34.1 meV per atom
# * energy relative to the elements: 0.000 eV per atom
data_Ba4LiMg3
_chemical_formula_sum 'Ba4 Li1 Mg3'
_cell_length_a 4.677
_cell_length_b 5.633
_cell_length_c 13.404
_cell_angle_alpha 90.00
_cell_angle_beta 90.00
_cell_angle_gamma 90.00
_symmetry_space_group_name_H-M 'P m m 2'
_symmetry_Int_Tables_number 25
loop_
_symmetry_equiv_pos_as_xyz
'x,y,z'
'-x,-y,z'
'-x,y,z'
'x,-y,z'
loop_
_atom_site_label
_atom_site_fract_x
_atom_site_fract_y
_atom_site_fract_z
_atom_site_occupancy
Ba1 0.000 0.000 0.000 1
Ba2 0.000 0.500 0.293 1
Ba3 0.500 0.000 0.500 1
Ba4 0.500 0.500 0.794 1
Li1 0.500 0.000 0.206 1
Mg1 0.000 0.000 0.710 1
Mg2 0.000 0.500 0.582 1
Mg3 0.500 0.500 0.084 1